DFT (PBE) results for a relaxed structure of CsYMnCl2.

Structure (extended XYZ):
```
5
Lattice="-5.165 2.267 -2.110 -3.137 -1.742 5.807 1.391 5.363 2.360" Properties=species:S:1:pos:R:3 pbc="T T T"
Cs 0.000 0.000 0.000
Y -1.568 -0.871 2.904
Mn -3.456 2.944 3.029
Cl 0.695 2.682 1.180
Cl -2.582 1.134 -1.055
```

Results
SG: No. 123
E: -3.533 eV/atom